Record 1
Compound: ErThSc2S4
Source: the Alexandria database
Functional: PBE-GGA
Structure: relaxed

Unit cell a=6.633 b=3.794 c=6.686 alpha=90.00 beta=109.05 gamma=90.00
Space group P2/m (No. 10)
One atom of each set of equivalent atoms:
1 Er 0.000 0.000 0.000 (multiplicity 1)
2 Th 0.500 0.500 0.000 (multiplicity 1)
3 Sc 0.000 0.500 0.500 (multiplicity 1)
4 Sc 0.500 0.000 0.500 (multiplicity 1)
5 S 0.233 0.000 0.725 (multiplicity 2)
6 S 0.248 0.500 0.268 (multiplicity 2)

The calculation puts the volume at 19.9 Å³ per atom. The energy is -55.9 eV per formula unit. The calculation puts the formation energy without anion corrections at -1.848 eV per atom.

Record 2
Compound: Er2ThScS4
Source: the Alexandria database
Functional: PBE-GGA
Structure: relaxed

Unit cell a=6.713 b=3.849 c=6.774 alpha=90.00 beta=109.06 gamma=90.00
Space group P2/m (No. 10)
One atom of each set of equivalent atoms:
1 Er 0.000 0.000 0.000 (multiplicity 1)
2 Er 0.000 0.500 0.500 (multiplicity 1)
3 Th 0.500 0.000 0.500 (multiplicity 1)
4 Sc 0.500 0.500 0.000 (multiplicity 1)
5 S 0.242 0.500 0.234 (multiplicity 2)
6 S 0.252 0.000 0.764 (multiplicity 2)

The calculation puts the volume at 20.7 Å³ per atom. The energy is -54.3 eV per formula unit. The calculation puts the formation energy without anion corrections at -1.862 eV per atom.

Record 3
Compound: Er2Th3ScS6
Source: the Alexandria database
Functional: PBE-GGA
Structure: relaxed

Unit cell a=17.496 b=3.853 c=8.028 alpha=90.00 beta=107.88 gamma=90.00
Space group C2/m (No. 12)
One atom of each set of equivalent atoms:
1 Er 0.165 0.000 0.331 (multiplicity 4)
2 Th 0.000 0.500 0.500 (multiplicity 2)
3 Th 0.167 0.000 0.833 (multiplicity 4)
4 Sc 0.000 0.500 0.000 (multiplicity 2)
5 S 0.003 0.000 0.230 (multiplicity 4)
6 S 0.158 0.500 0.091 (multiplicity 4)
7 S 0.172 0.500 0.571 (multiplicity 4)

The calculation puts the volume at 21.5 Å³ per atom. The energy is -84.8 eV per formula unit. The calculation puts the formation energy without anion corrections at -1.863 eV per atom.

Record 4
Compound: Er3ScTl2S
Source: the Alexandria database
Functional: PBE-GGA
Structure: relaxed

Unit cell a=4.779 b=4.979 c=15.882 alpha=90.00 beta=90.00 gamma=90.00
Space group Immm (No. 71)
One atom of each set of equivalent atoms:
1 Er 0.000 0.000 0.000 (multiplicity 2)
2 Er 0.000 0.500 0.171 (multiplicity 4)
3 Sc 0.000 0.000 0.500 (multiplicity 2)
4 Tl 0.000 0.500 0.366 (multiplicity 4)
5 S 0.000 0.500 0.000 (multiplicity 2)

The calculation puts the volume at 27.0 Å³ per atom. The energy is -33.6 eV per formula unit. The calculation puts the formation energy without anion corrections at -0.671 eV per atom.

Record 5
Compound: ErTm4ScS8
Source: the Alexandria database
Functional: PBE-GGA
Structure: relaxed

Unit cell a=7.9323 b=7.9323 c=19.0936 alpha=90.00 beta=90.00 gamma=120.00
Space group R3m (No. 160, hexagonal axes)
One atom of each set of equivalent atoms:
1 Er 0.0000 0.0000 0.0000 (multiplicity 3)
2 Tm 0.0000 0.0000 0.2449 (multiplicity 3)
3 Tm 0.0001 0.5000 0.1224 (multiplicity 9)
4 Sc 0.0000 0.0000 0.6222 (multiplicity 3)
5 S 0.0000 0.0000 0.3792 (multiplicity 3)
6 S 0.0000 0.0000 0.8652 (multiplicity 3)
7 S 0.0265 0.5132 0.3728 (multiplicity 9)
8 S 0.1792 0.3583 0.2054 (multiplicity 9)

The calculation puts the volume at 24.8 Å³ per atom. The energy is -88.4 eV per formula unit. The calculation puts the formation energy without anion corrections at -1.899 eV per atom.

Record 6
Compound: ErTmSc2S4
Source: the Alexandria database
Functional: PBE-GGA
Structure: relaxed

Unit cell a=6.531 b=3.756 c=6.569 alpha=90.00 beta=109.26 gamma=90.00
Space group P2/m (No. 10)
One atom of each set of equivalent atoms:
1 Er 0.000 0.000 0.000 (multiplicity 1)
2 Tm 0.000 0.500 0.500 (multiplicity 1)
3 Sc 0.500 0.000 0.500 (multiplicity 1)
4 Sc 0.500 0.500 0.000 (multiplicity 1)
5 S 0.261 0.000 0.753 (multiplicity 2)
6 S 0.262 0.500 0.255 (multiplicity 2)

The calculation puts the volume at 19.0 Å³ per atom. The energy is -53.4 eV per formula unit. The calculation puts the formation energy without anion corrections at -1.900 eV per atom.